A relaxed structure of CdPb2IO8. Source: the Alexandria database, functional PBE.

Calculated values
Spin magnetization: 0.00 μB per formula unit
Energy relative to the elements, uncorrected: -0.66 eV/atom
Calculated total energy: -114.9 eV/cell

Unit cell a=7.0723 b=7.1487 c=6.8809 alpha=90.00 beta=90.00 gamma=90.00
Space group Cmmm (No. 65)
One atom of each set of equivalent atoms:
Cd (0.0000, 0.0000, 0.0000) [2 per cell]
Pb (0.0000, 0.5000, 0.2472) [4 per cell]
I (0.0000, 0.0000, 0.5000) [2 per cell]
O (0.0000, 0.1825, 0.2922) [8 per cell]
O (0.1922, 0.5000, 0.0000) [4 per cell]
O (0.2167, 0.5000, 0.5000) [4 per cell]



A relaxed structure of CdPbI2O. Source: the Alexandria database, functional PBE.

Calculated values
Spin magnetization: 0.00 μB per formula unit
Energy relative to the elements, uncorrected: -0.23 eV/atom
Distance to the lowest polymorph of the same formula: 0.000 eV per atom
Calculated total energy: -13.8 eV/cell

Unit cell a=5.7947 b=5.7947 c=4.2242 alpha=90.00 beta=90.00 gamma=90.00
Space group P4/mmm (No. 123)
One atom of each set of equivalent atoms:
Cd (0.0000, 0.0000, 0.0000) [1 per cell]
Pb (0.5000, 0.5000, 0.5000) [1 per cell]
I (0.0000, 0.5000, 0.0000) [2 per cell]
O (0.0000, 0.0000, 0.5000) [1 per cell]



A relaxed structure of CdPbIO6. Source: the Alexandria database, functional PBE.

Calculated values
Spin magnetization: 0.00 μB per formula unit
Energy relative to the elements, uncorrected: -0.58 eV/atom
Calculated total energy: -82.3 eV/cell

Unit cell a=5.6721 b=5.6721 c=9.3941 alpha=90.00 beta=90.00 gamma=120.00
Space group P-31c (No. 163)
One atom of each set of equivalent atoms:
Cd (0.0000, 0.0000, 0.0000) [2 per cell]
Pb (0.3333, 0.6667, 0.2500) [2 per cell]
I (0.3333, 0.6667, 0.7500) [2 per cell]
O (0.0506, 0.3862, 0.6334) [12 per cell]



A relaxed structure of CdPbI2O. Source: the Alexandria database, functional PBE.

Calculated values
Spin magnetization: 0.00 μB per formula unit
Energy relative to the elements, uncorrected: -0.17 eV/atom
Distance to the lowest polymorph of the same formula: 0.057 eV per atom
Calculated total energy: -13.5 eV/cell

Unit cell a=6.1001 b=6.1001 c=4.1769 alpha=90.00 beta=90.00 gamma=90.00
Space group P4/mmm (No. 123)
One atom of each set of equivalent atoms:
Cd (0.0000, 0.0000, 0.0000) [1 per cell]
Pb (0.5000, 0.5000, 0.5000) [1 per cell]
I (0.0000, 0.5000, 0.5000) [2 per cell]
O (0.5000, 0.5000, 0.0000) [1 per cell]